A relaxed Pr3Zn4Hg2 crystal, computed with GGA-PBE.

Output
The calculation puts the formation energy at -3.4 eV/f.u.

Cell: 10.9736 4.7620 8.9713 Å, 90.00 114.67 90.00°
Space group C2/m (No. 12)
One atom of each set of equivalent atoms:
Pr 0.0000 0.0000 0.0000 [2 per cell]
Pr 0.1668 0.5000 0.6706 [4 per cell]
Zn 0.0503 0.0000 0.3913 [4 per cell]
Zn 0.2295 0.5000 0.0531 [4 per cell]
Hg 0.1128 0.5000 0.2783 [4 per cell]

=====

A relaxed RbLaZnIr2 crystal, computed with GGA-PBE.

Output
The calculation puts the formation energy at 5.7 eV/f.u.

Cell: 5.0734 5.0734 6.7343 Å, 90.00 90.00 90.00°
Space group P4/mmm (No. 123)
One atom of each set of equivalent atoms:
Rb 0.0000 0.0000 0.0000 [1 per cell]
La 0.0000 0.0000 0.5000 [1 per cell]
Zn 0.5000 0.5000 0.0000 [1 per cell]
Ir 0.0000 0.5000 0.5000 [2 per cell]

=====

A relaxed Li2ScRhPb crystal, computed with GGA-PBE.

Output
The calculation puts the formation energy at -0.4 eV/f.u.

Cell: 4.7496 4.7496 4.8597 Å, 90.00 90.00 90.00°
Space group P4/mmm (No. 123)
One atom of each set of equivalent atoms:
Li 0.0000 0.5000 0.0000 [2 per cell]
Sc 0.0000 0.0000 0.5000 [1 per cell]
Rh 0.0000 0.0000 0.0000 [1 per cell]
Pb 0.5000 0.5000 0.5000 [1 per cell]

=====

A relaxed TcSn2SbRu crystal, computed with GGA-PBE.

Output
For the formation energy (no corrections), the calculation gives 0.7493 eV per atom.

Cell: 5.1195 5.1195 4.7586 Å, 90.00 90.00 90.00°
Space group P4/mmm (No. 123)
One atom of each set of equivalent atoms:
Tc 0.0000 0.0000 0.0000 [1 per cell]
Sn 0.0000 0.5000 0.0000 [2 per cell]
Sb 0.5000 0.5000 0.5000 [1 per cell]
Ru 0.0000 0.0000 0.5000 [1 per cell]

=====

A relaxed Li7Ac3In4 crystal, computed with GGA-PBE.

Output
The calculation puts the formation energy at -3.7 eV/f.u.

Cell: 17.5847 5.1003 9.5444 Å, 90.00 121.75 90.00°
Space group C2/m (No. 12)
One atom of each set of equivalent atoms:
Li 0.0000 0.0000 0.0000 [2 per cell]
Li 0.0059 0.5000 0.8254 [4 per cell]
Li 0.1396 0.0000 0.3385 [4 per cell]
Li 0.1636 0.5000 0.8162 [4 per cell]
Ac 0.0000 0.0000 0.5000 [2 per cell]
Ac 0.2222 0.5000 0.2216 [4 per cell]
In 0.1331 0.0000 0.9315 [4 per cell]
In 0.1506 0.5000 0.5022 [4 per cell]

=====

A relaxed CoSnTe2 crystal, computed with GGA-PBE.

Output
For the formation energy (no corrections), the calculation gives 0.0402 eV per atom.

Cell: 6.3529 6.3529 11.9695 Å, 90.00 90.00 90.00°
Space group I-42d (No. 122)
One atom of each set of equivalent atoms:
Co 0.0000 0.0000 0.0000 [4 per cell]
Sn 0.0000 0.0000 0.5000 [4 per cell]
Te 0.1750 0.2500 0.1250 [8 per cell]